[1]
Be2InNiSb | GGA-PBE | relaxed

Lattice parameters (Å, degrees): 4.282 4.282 4.855 90.00 90.00 90.00
Space group P4/mmm (No. 123)
Unique sites:
Be1 0.000 0.500 0.000 (multiplicity 2)
In1 0.000 0.000 0.500 (multiplicity 1)
Ni1 0.000 0.000 0.000 (multiplicity 1)
Sb1 0.500 0.500 0.500 (multiplicity 1)

- Mass density: 5.84 g cm⁻³
- Calculated total energy: -3.5211 eV/atom



[2]
BaNa3Sr5 | GGA-PBE | relaxed

Lattice parameters (Å, degrees): 15.749 11.993 12.857 90.00 120.41 90.00
Space group C2/m (No. 12)
Unique sites:
Ba1 0.223 0.000 0.300 (multiplicity 4)
Na1 0.000 0.000 0.000 (multiplicity 2)
Na2 0.000 0.500 0.500 (multiplicity 2)
Na3 0.020 0.000 0.635 (multiplicity 4)
Na4 0.050 0.500 0.788 (multiplicity 4)
Sr1 0.000 0.313 0.000 (multiplicity 4)
Sr2 0.091 0.257 0.410 (multiplicity 8)
Sr3 0.207 0.000 0.947 (multiplicity 4)
Sr4 0.232 0.500 0.332 (multiplicity 4)

- Mass density: 2.04 g cm⁻³
- ΔE_f: 0.230 eV/atom



[3]
Co2HgHCl | GGA-PBE | relaxed

Lattice parameters (Å, degrees): 4.584 4.584 3.159 90.00 90.00 90.00
Space group P4/mmm (No. 123)
Unique sites:
Co1 0.000 0.500 0.000 (multiplicity 2)
Hg1 0.000 0.000 0.500 (multiplicity 1)
H1 0.500 0.500 0.500 (multiplicity 1)
Cl1 0.500 0.500 0.000 (multiplicity 1)

- Mass density: 8.88 g cm⁻³
- Calculated total energy: -3.1410 eV/atom



[4]
ScSiP2 | GGA-PBE | relaxed

Lattice parameters (Å, degrees): 3.671 3.671 9.591 90.00 90.00 90.00
Space group I-4m2 (No. 119)
Unique sites:
Sc1 0.000 0.000 0.000 (multiplicity 2)
Si1 0.000 0.500 0.750 (multiplicity 2)
P1 0.000 0.000 0.500 (multiplicity 2)
P2 0.000 0.500 0.250 (multiplicity 2)

- Mass density: 3.47 g cm⁻³
- Calculated total energy: -5.9793 eV/atom